(1)
BaSrCd2F8: relaxed, PBE-GGA.

Cell: 5.844 5.844 11.916 Å, 90.00 90.00 90.00°
Space group I-4 (No. 82)
Inequivalent atoms, fractional coordinates:
1 Ba 0.000 0.000 0.000 (multiplicity 2)
2 Sr 0.000 0.500 0.750 (multiplicity 2)
3 Cd 0.000 0.000 0.500 (multiplicity 2)
4 Cd 0.000 0.500 0.250 (multiplicity 2)
5 F 0.194 0.246 0.605 (multiplicity 8)
6 F 0.215 0.739 0.153 (multiplicity 8)

N(E_F) in states/eV/cell: 0.0
Raw formation energy in kJ/mol of formula units: -3506
V in A^3/atom: 17.0


(2)
BaSr2CdF: relaxed, PBE-GGA.

Cell: 5.371 5.371 5.808 Å, 90.00 90.00 90.00°
Space group P4/mmm (No. 123)
Inequivalent atoms, fractional coordinates:
1 Ba 0.000 0.000 0.000 (multiplicity 1)
2 Sr 0.000 0.500 0.500 (multiplicity 2)
3 Cd 0.500 0.500 0.000 (multiplicity 1)
4 F 0.000 0.000 0.500 (multiplicity 1)

N(E_F) in states/eV/cell: 4.5
Raw formation energy in kJ/mol of formula units: -538
V in A^3/atom: 33.5